(1)
Density functional theory data (PBE-GGA) for a geometry-optimized CaZn2F4 structure.

Properties
As for the density of states at the Fermi level: 0.00 states/eV/f.u. As for the uncorrected formation energy: -2.38 eV per atom. The calculation puts the spin magnetization at 0.000 μB/atom. The total energy comes out at -4.10 eV/atom.

a = 4.8441 Å, b = 4.8441 Å, c = 10.4903 Å
α = 90.00°, β = 90.00°, γ = 90.00°
Last column: nearest neighbours and their distance in Å.
Space group I4/mmm (No. 139)
One atom of each set of equivalent atoms:
Ca: 0.0000 0.0000 0.0000 x2  6 F 2.22-2.42
Zn: 0.0000 0.0000 0.3910 x4  1 F 1.88
F: 0.0000 0.0000 0.2119 x4  1 Zn 1.88
F: 0.0000 0.5000 0.0000 x4  2 Ca 2.42, 4 Zn 2.68

(2)
Density functional theory data (PBE-GGA) for a geometry-optimized CaZn2F structure.

Properties
As for the density of states at the Fermi level: 1.82 states/eV/f.u. As for the uncorrected formation energy: -1.07 eV per atom. The calculation puts the energy above the most stable polymorph in this dataset at 0.00 eV/f.u. The calculation puts the spin magnetization at 0.000 μB/atom. The total energy comes out at -2.68 eV/atom.

a = 8.6527 Å, b = 8.6527 Å, c = 4.5677 Å
α = 90.00°, β = 90.00°, γ = 90.00°
Last column: nearest neighbours and their distance in Å.
Space group I-42d (No. 122)
One atom of each set of equivalent atoms:
Ca: 0.0000 0.0000 0.0000 x4  2 F 2.28
Zn: 0.2080 0.2500 0.6250 x8  2 Zn 2.40
F: 0.0000 0.0000 0.5000 x4  2 Ca 2.28

(3)
Density functional theory data (PBE-GGA) for a geometry-optimized CaZnF5 structure.

Properties
As for the density of states at the Fermi level: 4.45 states/eV/f.u. As for the uncorrected formation energy: -2.64 eV per atom. The calculation puts the spin magnetization at 0.154 μB/atom. The total energy comes out at -4.44 eV/atom.

a = 9.1036 Å, b = 6.4963 Å, c = 7.8511 Å
α = 90.00°, β = 115.38°, γ = 90.00°
Last column: nearest neighbours and their distance in Å.
Space group C2/c (No. 15)
One atom of each set of equivalent atoms:
Ca: 0.0000 0.0491 0.2500 x4  7 F 2.24-2.40
Zn: 0.0000 0.5000 0.0000 x4  6 F 1.89-2.03
F: 0.0000 0.4177 0.2500 x4  2 Zn 2.03
F: 0.0029 0.1956 0.9706 x8  1 Zn 1.99
F: 0.2297 0.4927 0.6152 x8  1 Zn 1.89

(4)
Density functional theory data (PBE-GGA) for a geometry-optimized Ca2Zn2F7 structure.

Properties
As for the density of states at the Fermi level: 1.19 states/eV/f.u. As for the uncorrected formation energy: -2.86 eV per atom. The calculation puts the spin magnetization at 0.000 μB/atom. The total energy comes out at -4.65 eV/atom.

a = 5.5419 Å, b = 5.6411 Å, c = 5.6425 Å
α = 96.77°, β = 93.17°, γ = 92.71°
Last column: nearest neighbours and their distance in Å.
Space group P-1 (No. 2)
One atom of each set of equivalent atoms:
Ca: 0.0009 0.2824 0.2184 x2  6 F 2.30-2.32
Zn: 0.4549 0.2575 0.7620 x2  4 F 1.98-2.04
F: 0.2192 0.0630 0.9373 x2  1 Zn 2.04
F: 0.2186 0.4350 0.5664 x2  1 Zn 2.04
F: 0.2416 0.5696 0.0710 x2  1 Zn 2.03
F: 0.5000 0.0000 0.5000 x1  2 Zn 1.98

(5)
Density functional theory data (PBE-GGA) for a geometry-optimized Ca12Zn3F5 structure.

Properties
As for the density of states at the Fermi level: 12.04 states/eV/f.u. As for the uncorrected formation energy: -1.41 eV per atom. The calculation puts the spin magnetization at 0.000 μB/atom. The total energy comes out at -3.27 eV/atom.

a = 16.1065 Å, b = 16.1065 Å, c = 16.1065 Å
α = 90.00°, β = 90.00°, γ = 90.00°
Last column: nearest neighbours and their distance in Å.
Space group Ia-3d (No. 230)
One atom of each set of equivalent atoms:
Ca: 0.0340 0.0568 0.6537 x96  1 F 2.32
Zn: 0.0000 0.2500 0.1250 x24  8 Ca 3.13-3.19
F: 0.0000 0.0000 0.0000 x16  6 Ca 2.70
F: 0.0000 0.2500 0.3750 x24  4 Ca 2.32

(6)
Density functional theory data (PBE-GGA) for a geometry-optimized CaZnF4 structure.

Properties
As for the density of states at the Fermi level: 0.00 states/eV/f.u. As for the uncorrected formation energy: -3.09 eV per atom. The calculation puts the spin magnetization at 0.000 μB/atom. The total energy comes out at -4.89 eV/atom.

a = 5.3349 Å, b = 5.4132 Å, c = 5.4111 Å
α = 90.00°, β = 94.42°, γ = 90.00°
Last column: nearest neighbours and their distance in Å.
Space group P2_1/c (No. 14)
One atom of each set of equivalent atoms:
Ca: 0.0000 0.0000 0.0000 x2  6 F 2.24-2.41
Zn: 0.5000 0.0000 0.5000 x2  6 F 1.99-2.19
F: 0.1807 0.1558 0.3663 x4  1 Zn 1.99
F: 0.3347 0.6862 0.2907 x4  2 Zn 2.12-2.19

(7)
Density functional theory data (PBE-GGA) for a geometry-optimized Ca2ZnF8 structure.

Properties
As for the density of states at the Fermi level: 10.24 states/eV/f.u. As for the uncorrected formation energy: -2.70 eV per atom. The calculation puts the spin magnetization at 0.189 μB/atom. The total energy comes out at -4.54 eV/atom.

a = 9.8419 Å, b = 7.3246 Å, c = 4.5247 Å
α = 90.00°, β = 110.74°, γ = 90.00°
Last column: nearest neighbours and their distance in Å.
Space group C2/m (No. 12)
One atom of each set of equivalent atoms:
Ca: 0.1635 0.0000 0.3674 x4  8 F 2.32-2.45
Zn: 0.0000 0.5000 0.0000 x2  6 F 1.91-2.01
F: 0.0883 0.0000 0.8086 x4  3 Ca 2.32-2.37
F: 0.1177 0.5000 0.7430 x4  1 Zn 1.91
F: 0.1412 0.3157 0.2665 x8  1 Zn 2.01

(8)
Density functional theory data (PBE-GGA) for a geometry-optimized CaZnF4 structure.

Properties
As for the density of states at the Fermi level: 0.00 states/eV/f.u. As for the uncorrected formation energy: -3.09 eV per atom. The calculation puts the spin magnetization at 0.000 μB/atom. The total energy comes out at -4.88 eV/atom.

a = 7.2622 Å, b = 7.2622 Å, c = 6.9748 Å
α = 90.00°, β = 90.00°, γ = 90.00°
Last column: nearest neighbours and their distance in Å.
Space group I4_1/amd (No. 141, origin choice 2)
One atom of each set of equivalent atoms:
Ca: 0.0000 0.2500 0.3750 x4  8 F 2.31-2.51
Zn: 0.0000 0.2500 0.8750 x4  4 F 1.93
F: 0.0000 0.0637 0.6783 x16  1 Zn 1.93

(9)
Density functional theory data (PBE-GGA) for a geometry-optimized CaZn3F structure.

Properties
As for the density of states at the Fermi level: 1.60 states/eV/f.u. As for the uncorrected formation energy: -0.41 eV per atom. The calculation puts the energy above the most stable polymorph in this dataset at 0.00 eV/f.u. The calculation puts the spin magnetization at 0.000 μB/atom. The total energy comes out at -1.95 eV/atom.

a = 4.7127 Å, b = 4.7127 Å, c = 4.7127 Å
α = 90.00°, β = 90.00°, γ = 90.00°
Last column: nearest neighbours and their distance in Å.
Space group Pm-3m (No. 221)
One atom of each set of equivalent atoms:
Ca: 0.0000 0.0000 0.0000 x1  12 Zn 3.33
Zn: 0.0000 0.5000 0.5000 x3  2 F 2.36
F: 0.5000 0.5000 0.5000 x1  6 Zn 2.36

(10)
Density functional theory data (PBE-GGA) for a geometry-optimized Ca3ZrF structure.

Properties
As for the density of states at the Fermi level: 6.97 states/eV/f.u. As for the uncorrected formation energy: 0.48 eV per atom. The calculation puts the energy above the most stable polymorph in this dataset at 6.22 eV/f.u. The calculation puts the spin magnetization at 0.645 μB/atom. The total energy comes out at -2.80 eV/atom.

a = 6.1441 Å, b = 6.1441 Å, c = 6.1441 Å
α = 90.00°, β = 90.00°, γ = 90.00°
Last column: nearest neighbours and their distance in Å.
Space group Pm-3m (No. 221)
One atom of each set of equivalent atoms:
Ca: 0.0000 0.0000 0.5000 x3  2 Zr 3.07
Zr: 0.0000 0.0000 0.0000 x1  6 Ca 3.07
F: 0.5000 0.5000 0.5000 x1  12 Ca 4.34

(11)
Density functional theory data (PBE-GGA) for a geometry-optimized Ca2ZrF8 structure.

Properties
As for the density of states at the Fermi level: 0.00 states/eV/f.u. As for the uncorrected formation energy: -3.75 eV per atom. The calculation puts the energy above the most stable polymorph in this dataset at 0.00 eV/f.u. The calculation puts the spin magnetization at 0.010 μB/atom. The total energy comes out at -6.25 eV/atom.

a = 14.8789 Å, b = 3.7690 Å, c = 5.1852 Å
α = 90.00°, β = 105.32°, γ = 90.00°
Last column: nearest neighbours and their distance in Å.
Space group C2/m (No. 12)
One atom of each set of equivalent atoms:
Ca: 0.1752 0.0000 0.1682 x4  8 F 2.30-2.54
Zr: 0.0000 0.5000 0.5000 x2  8 F 2.08-2.22
F: 0.0223 0.0000 0.2998 x4  2 Zr 2.22, 3 F 2.34-2.47
F: 0.0888 0.5000 0.8853 x4  1 Zr 2.08
F: 0.1323 0.5000 0.4266 x4  1 Zr 2.10
F: 0.2299 0.0000 0.7934 x4  3 Ca 2.30-2.33

(12)
Density functional theory data (PBE-GGA) for a geometry-optimized CaZrF6 structure.

Properties
As for the density of states at the Fermi level: 0.00 states/eV/f.u. As for the uncorrected formation energy: -3.83 eV per atom. The calculation puts the spin magnetization at 0.000 μB/atom. The total energy comes out at -6.55 eV/atom.

a = 8.6287 Å, b = 8.6287 Å, c = 8.6287 Å
α = 90.00°, β = 90.00°, γ = 90.00°
Last column: nearest neighbours and their distance in Å.
Space group Fm-3m (No. 225)
One atom of each set of equivalent atoms:
Ca: 0.0000 0.0000 0.0000 x4  6 F 2.27
Zr: 0.0000 0.0000 0.5000 x4  6 F 2.04
F: 0.0000 0.0000 0.2633 x24  1 Zr 2.04, 1 Ca 2.27

(13)
Density functional theory data (PBE-GGA) for a geometry-optimized CaZr3F structure.

Properties
As for the density of states at the Fermi level: 8.61 states/eV/f.u. As for the uncorrected formation energy: -0.40 eV per atom. The calculation puts the energy above the most stable polymorph in this dataset at 0.00 eV/f.u. The calculation puts the spin magnetization at 0.000 μB/atom. The total energy comes out at -6.30 eV/atom.

a = 4.7570 Å, b = 4.7570 Å, c = 4.7570 Å
α = 90.00°, β = 90.00°, γ = 90.00°
Last column: nearest neighbours and their distance in Å.
Space group Pm-3m (No. 221)
One atom of each set of equivalent atoms:
Ca: 0.0000 0.0000 0.0000 x1  12 Zr 3.36
Zr: 0.0000 0.5000 0.5000 x3  2 F 2.38
F: 0.5000 0.5000 0.5000 x1  6 Zr 2.38

(14)
Density functional theory data (PBE-GGA) for a geometry-optimized Ca2ZrF8 structure.

Properties
As for the density of states at the Fermi level: 0.00 states/eV/f.u. As for the uncorrected formation energy: -3.73 eV per atom. The calculation puts the energy above the most stable polymorph in this dataset at 0.20 eV/f.u. The calculation puts the spin magnetization at 0.017 μB/atom. The total energy comes out at -6.23 eV/atom.

a = 6.8907 Å, b = 6.8907 Å, c = 4.4704 Å
α = 90.00°, β = 90.00°, γ = 120.00°
Last column: nearest neighbours and their distance in Å.
Space group P-3m1 (No. 164)
One atom of each set of equivalent atoms:
Ca: 0.3333 0.6667 0.2322 x2  5 F 2.22-2.26
Zr: 0.0000 0.0000 0.5000 x1  6 F 2.04
F: 0.1444 0.2889 0.2546 x6  1 Zr 2.04, 1 Ca 2.26
F: 0.3333 0.6667 0.7345 x2  2 Ca 2.22-2.25

(15)
Density functional theory data (PBE-GGA) for a geometry-optimized Ca3ZrF structure.

Properties
As for the density of states at the Fermi level: 6.90 states/eV/f.u. As for the uncorrected formation energy: -0.76 eV per atom. The calculation puts the energy above the most stable polymorph in this dataset at 0.00 eV/f.u. The calculation puts the spin magnetization at 0.565 μB/atom. The total energy comes out at -4.05 eV/atom.

a = 5.1172 Å, b = 5.1172 Å, c = 5.1172 Å
α = 90.00°, β = 90.00°, γ = 90.00°
Last column: nearest neighbours and their distance in Å.
Space group Pm-3m (No. 221)
One atom of each set of equivalent atoms:
Ca: 0.0000 0.0000 0.5000 x3  2 F 2.56
Zr: 0.5000 0.5000 0.5000 x1  12 Ca 3.62
F: 0.0000 0.0000 0.0000 x1  6 Ca 2.56

(16)
Density functional theory data (PBE-GGA) for a geometry-optimized CaZr3F structure.

Properties
As for the density of states at the Fermi level: 7.99 states/eV/f.u. As for the uncorrected formation energy: 1.55 eV per atom. The calculation puts the energy above the most stable polymorph in this dataset at 9.73 eV/f.u. The calculation puts the spin magnetization at 0.000 μB/atom. The total energy comes out at -4.35 eV/atom.

a = 5.1961 Å, b = 5.1961 Å, c = 5.1961 Å
α = 90.00°, β = 90.00°, γ = 90.00°
Last column: nearest neighbours and their distance in Å.
Space group Pm-3m (No. 221)
One atom of each set of equivalent atoms:
Ca: 0.0000 0.0000 0.0000 x1  6 Zr 2.60
Zr: 0.0000 0.0000 0.5000 x3  2 Ca 2.60
F: 0.5000 0.5000 0.5000 x1  12 Zr 3.67

(17)
Density functional theory data (PBE-GGA) for a geometry-optimized CaFe4 structure.

Properties
As for the density of states at the Fermi level: 5.15 states/eV/f.u. For the formation enthalpy at 0 K, the calculation gives 0.443 eV/atom. The calculation puts the spin magnetization at 2.021 μB/atom. The total energy comes out at -6.73 eV/atom.

a = 5.9694 Å, b = 5.9694 Å, c = 4.2440 Å
α = 90.00°, β = 90.00°, γ = 90.00°
Last column: nearest neighbours and their distance in Å.
Space group I4/m (No. 87)
One atom of each set of equivalent atoms:
Ca: 0.0000 0.0000 0.0000 x2  12 Fe 2.85-2.88
Fe: 0.0540 0.3147 0.5000 x8  1 Fe 2.30

(18)
Density functional theory data (PBE-GGA) for a geometry-optimized CaFe5 structure.

Properties
As for the density of states at the Fermi level: 7.01 states/eV/f.u. For the formation enthalpy at 0 K, the calculation gives 0.402 eV/atom. The calculation puts the spin magnetization at 2.011 μB/atom. The total energy comes out at -6.98 eV/atom.

a = 4.3266 Å, b = 9.4321 Å, c = 4.1610 Å
α = 90.00°, β = 90.00°, γ = 90.00°
Last column: nearest neighbours and their distance in Å.
Space group Cmmm (No. 65)
One atom of each set of equivalent atoms:
Ca: 0.0000 0.0000 0.0000 x2  14 Fe 2.74-3.03
Fe: 0.0000 0.1942 0.5000 x4  4 Fe 2.40-2.41
Fe: 0.0000 0.3209 0.0000 x4  6 Fe 2.40-2.68
Fe: 0.0000 0.5000 0.5000 x2  10 Fe 2.68-2.88, 4 Ca 3.00

(19)
Density functional theory data (PBE-GGA) for a geometry-optimized CaFe3 structure.

Properties
As for the density of states at the Fermi level: 4.02 states/eV/f.u. For the formation enthalpy at 0 K, the calculation gives 0.525 eV/atom. The calculation puts the spin magnetization at 1.822 μB/atom. The total energy comes out at -6.32 eV/atom.

a = 2.8817 Å, b = 4.7372 Å, c = 9.2458 Å
α = 90.00°, β = 90.00°, γ = 90.00°
Last column: nearest neighbours and their distance in Å.
Space group Immm (No. 71)
One atom of each set of equivalent atoms:
Ca: 0.0000 0.0000 0.0000 x2  12 Fe 2.77-3.09, 2 Ca 2.88
Fe: 0.0000 0.0000 0.5000 x2  4 Fe 2.46
Fe: 0.0000 0.5000 0.2152 x4  2 Fe 2.46

(20)
Density functional theory data (PBE-GGA) for a geometry-optimized Ca3Fe structure.

Properties
As for the density of states at the Fermi level: 5.67 states/eV/f.u. For the formation enthalpy at 0 K, the calculation gives 0.442 eV/atom. The calculation puts the spin magnetization at 0.625 μB/atom. The total energy comes out at -3.18 eV/atom.

a = 3.7254 Å, b = 3.7254 Å, c = 10.8252 Å
α = 90.00°, β = 90.00°, γ = 120.00°
Last column: nearest neighbours and their distance in Å.
Space group P-6m2 (No. 187)
One atom of each set of equivalent atoms:
Ca: 0.0000 0.0000 0.0000 x1  12 Ca 3.73-3.94
Ca: 0.3333 0.6667 0.3054 x2  3 Fe 3.01
Fe: 0.0000 0.0000 0.5000 x1  6 Ca 3.01